# 1
LiH2Pd9Pb3: relaxed, PBE.

a b c (Å): 5.6818 5.6818 8.4751
angles (deg): 90.00 90.00 120.00
Last column: nearest neighbours and their distance in Å.
Fractional positions:
Li (0.0000, 0.0000, 0.0000)  6 Pd 2.48
H (0.3333, 0.6667, 0.6099)  3 Pd 1.89
H (0.6667, 0.3333, 0.3901)  3 Pd 1.89
Pd (0.0000, 0.5000, 0.5000)  2 H 1.89
Pd (0.1692, 0.3383, 0.7836)  1 H 2.19
Pd (0.1692, 0.8308, 0.7836)  1 H 2.19
Pd (0.3383, 0.1692, 0.2164)  1 H 2.19
Pd (0.5000, 0.0000, 0.5000)  2 H 1.89
Pd (0.5000, 0.5000, 0.5000)  2 H 1.89
Pd (0.6617, 0.8308, 0.7836)  1 H 2.19
Pd (0.8308, 0.1692, 0.2164)  1 H 2.19
Pd (0.8308, 0.6617, 0.2164)  1 H 2.19
Pb (0.0000, 0.0000, 0.5000)  12 Pd 2.84-2.92
Pb (0.3333, 0.6667, 0.1159)  9 Pd 2.97-3.25
Pb (0.6667, 0.3333, 0.8841)  9 Pd 2.97-3.25

Raw total energy   -4.6327 eV/atom
Calculated volume   15.8 Å³/atom

***

# 2
LiHPd2Pb2: relaxed, PBE.

a b c (Å): 7.5041 7.5041 7.5041
angles (deg): 131.90 65.02 138.98
Last column: nearest neighbours and their distance in Å.
Fractional positions:
Li (0.2500, 0.2500, 0.0000)  2 Li 2.63, 4 Pd 2.80, 4 Pb 2.85
Li (0.7500, 0.7500, 0.0000)  2 Li 2.63, 4 Pd 2.80, 4 Pb 2.85
H (0.2500, 0.7500, 0.5000)  4 Pd 1.95
H (0.7500, 0.2500, 0.5000)  4 Pd 1.95
Pd (0.0905, 0.6416, 0.7321)  2 H 1.95
Pd (0.4095, 0.1416, 0.5511)  2 H 1.95
Pd (0.5905, 0.8584, 0.4489)  2 H 1.95
Pd (0.9095, 0.3584, 0.2679)  2 H 1.95
Pb (0.1759, 0.1973, 0.3732)  2 Li 2.85, 4 Pd 2.92-3.01, 2 H 3.18
Pb (0.3241, 0.6973, 0.0214)  2 Li 2.85, 4 Pd 2.92-3.01, 2 H 3.18
Pb (0.6759, 0.3027, 0.9786)  2 Li 2.85, 4 Pd 2.92-3.01, 2 H 3.18
Pb (0.8241, 0.8027, 0.6268)  2 Li 2.85, 4 Pd 2.92-3.01, 2 H 3.18

Raw total energy   -4.0310 eV/atom
Calculated volume   17.0 Å³/atom

***

# 3
LiH2Pd2Pb: relaxed, PBE.

a b c (Å): 5.8212 4.7792 5.8307
angles (deg): 90.00 103.83 90.00
Last column: nearest neighbours and their distance in Å.
Fractional positions:
Li (0.1131, 0.2500, 0.3901)  4 H 2.00
Li (0.8869, 0.7500, 0.6099)  4 H 2.00
H (0.1714, 0.9999, 0.6738)  2 Pd 1.76
H (0.1714, 0.5001, 0.6738)  2 Pd 1.76
H (0.8286, 0.0001, 0.3262)  2 Pd 1.76
H (0.8286, 0.4999, 0.3262)  2 Pd 1.76
Pd (0.1993, 0.2500, 0.8998)  2 H 1.76
Pd (0.3976, 0.7500, 0.7010)  2 H 1.76
Pd (0.6024, 0.2500, 0.2990)  2 H 1.76
Pd (0.8007, 0.7500, 0.1002)  2 H 1.76
Pb (0.3123, 0.7500, 0.1901)  8 Pd 2.90-3.01, 2 Li 3.01, 4 H 3.15-3.16
Pb (0.6877, 0.2500, 0.8099)  8 Pd 2.90-3.01, 2 Li 3.01, 4 H 3.15-3.16

Raw total energy   -4.0576 eV/atom
Calculated volume   13.1 Å³/atom

***

# 4
Li2HPtPb: relaxed, PBE.

a b c (Å): 3.9972 3.9972 4.6767
angles (deg): 90.00 90.00 90.00
Last column: nearest neighbours and their distance in Å.
Fractional positions:
Li (0.0000, 0.5000, 0.0000)  2 H 2.00
Li (0.5000, 0.0000, 0.0000)  2 H 2.00
H (0.0000, 0.0000, 0.0000)  4 Li 2.00
Pt (0.5000, 0.5000, 0.5000)  4 Pb 2.83, 8 Li 3.08
Pb (0.0000, 0.0000, 0.5000)  2 H 2.34

Raw total energy   -3.6275 eV/atom
E above lowest polymorph   160.7 meV/atom
Calculated volume   14.9 Å³/atom

***

Number 2 is which compound?
LiHPd2Pb2